# 1
Computed, not measured: an optimized crystal structure of NpUTe2O at the GGA-PBE level of DFT.

The structure in CIF format:
```
data_NpUTe2O
_chemical_formula_sum 'Np2 U2 Te4 O2'
_symmetry_space_group_name_H-M 'P 4/n m m'
_symmetry_Int_Tables_number 129
_cell_length_a 4.0916
_cell_length_b 4.0916
_cell_length_c 14.5017
_cell_angle_alpha 90.00
_cell_angle_beta 90.00
_cell_angle_gamma 90.00
loop_
_symmetry_equiv_pos_as_xyz
'x,y,z'
'-x,-y,-z'
'-y+1/2,x,z'
'y+1/2,-x,-z'
'-x+1/2,-y+1/2,z'
'x+1/2,y+1/2,-z'
'y,-x+1/2,z'
'-y,x+1/2,-z'
'x+1/2,-y,-z'
'-x+1/2,y,z'
'-y,-x,-z'
'y,x,z'
'-x,y+1/2,-z'
'x,-y+1/2,z'
'y+1/2,x+1/2,-z'
'-y+1/2,-x+1/2,z'
loop_
_atom_site_label
_atom_site_type_symbol
_atom_site_fract_x
_atom_site_fract_y
_atom_site_fract_z
Np1 Np 0.2500 0.2500 0.0779
U1 U 0.2500 0.2500 0.5756
Te1 Te 0.2500 0.2500 0.3591
Te2 Te 0.2500 0.2500 0.8073
O1 O 0.2500 0.7500 0.0000
```

- crystal system = tetragonal
- E_form (uncorrected) (kcal/mol of atoms) = -31.5


# 2
Computed, not measured: an optimized crystal structure of Hg2As2Se at the GGA-PBE level of DFT.

The structure in CIF format:
```
data_Hg2As2Se
_chemical_formula_sum 'Hg4 As4 Se2'
_symmetry_space_group_name_H-M 'P 4/m b m'
_symmetry_Int_Tables_number 127
_symmetry_space_group_name_Hall '-P 4 2ab'
_cell_length_a 7.5898
_cell_length_b 7.5898
_cell_length_c 4.5486
_cell_angle_alpha 90.00
_cell_angle_beta 90.00
_cell_angle_gamma 90.00
loop_
_atom_site_label
_atom_site_type_symbol
_atom_site_fract_x
_atom_site_fract_y
_atom_site_fract_z
Hg1 Hg 0.1351 0.3649 0.0000
As1 As 0.2335 0.7335 0.5000
Se1 Se 0.0000 0.0000 0.5000
```

- crystal system = tetragonal
- E_form (uncorrected) (kcal/mol of atoms) = 5.8


# 3
Computed, not measured: an optimized crystal structure of Ca4Tl5 at the GGA-PBE level of DFT.

The structure in CIF format:
```
data_Ca4Tl5
_chemical_formula_sum 'Ca8 Tl10'
_symmetry_space_group_name_H-M 'I 4/m m m'
_symmetry_Int_Tables_number 139
_symmetry_space_group_name_Hall '-I 4 2'
_cell_length_a 10.4733
_cell_length_b 10.4733
_cell_length_c 5.0986
_cell_angle_alpha 90.00
_cell_angle_beta 90.00
_cell_angle_gamma 90.00
loop_
_atom_site_label
_atom_site_type_symbol
_atom_site_fract_x
_atom_site_fract_y
_atom_site_fract_z
Ca1 Ca 0.0000 0.3043 0.0000
Tl1 Tl 0.0000 0.0000 0.0000
Tl2 Tl 0.1692 0.1692 0.5000
```

- crystal system = tetragonal
- energy of formation (eV/atom) = -0.260


Number 1: mass density 10.21 g cm⁻³. Number 2: mass density 7.98 g cm⁻³. Number 3: mass density 7.02 g cm⁻³.